MgTc2Ni | GGA-PBE | optimized geometry

The structure in POSCAR format:
```
MgTc2Ni
1.0
-4.114 -4.658 -3.706
-3.415 -1.842 6.108
-5.386 -1.514 0.818
Ni Tc Mg
2 4 2
Direct
0.750 0.250 0.500 Ni
0.000 0.000 0.000 Ni
0.077 0.625 0.250 Tc
0.375 0.327 0.750 Tc
0.875 0.923 0.750 Tc
0.673 0.125 0.250 Tc
0.250 0.750 0.500 Mg
0.500 0.500 0.000 Mg
```

Energy of formation from the pure elements (kJ/mol of formula units): 230.4
Symmetry: I-42d (122)
Spin magnetization (μB/cell): 0.0
D(E_F) (states/eV/atom): 1.16

Pb3BrCl5 | GGA-PBE | optimized geometry

The structure in POSCAR format:
```
Pb3BrCl5
1.0
7.803 0.148 2.505
1.756 7.604 2.505
0.123 0.100 10.771
Pb Cl Br
6 10 2
Direct
0.000 0.000 0.000 Pb
0.000 0.000 0.500 Pb
0.669 0.669 0.833 Pb
0.345 0.345 0.673 Pb
0.331 0.331 0.167 Pb
0.655 0.655 0.327 Pb
0.230 0.230 0.971 Cl
0.421 0.421 0.380 Cl
0.695 0.305 0.000 Cl
0.579 0.579 0.620 Cl
0.358 0.965 0.326 Cl
0.035 0.642 0.674 Cl
0.642 0.035 0.674 Cl
0.305 0.695 0.000 Cl
0.965 0.358 0.326 Cl
0.770 0.770 0.029 Cl
0.889 0.889 0.305 Br
0.111 0.111 0.695 Br
```

Symmetry: C2/m (12)
Spin magnetization (μB/cell): 0.0
D(E_F) (states/eV/atom): 0.00
ΔE_f (raw) (eV/atom): -1.1087

PrPuRhAu | GGA-PBE | optimized geometry

The structure in POSCAR format:
```
PrPuRhAu
1.0
5.093 0.000 0.000
2.547 4.411 0.000
2.547 1.470 4.159
Pr Pu Rh Au
1 1 1 1
Direct
0.750 0.750 0.750 Pr
0.250 0.250 0.250 Pu
0.500 0.500 0.500 Rh
0.000 0.000 0.000 Au
```

Energy of formation from the pure elements (kJ/mol of formula units): -186.9
Symmetry: F-43m (216)
Spin magnetization (μB/cell): 5.7
D(E_F) (states/eV/atom): 3.31

Ag2Pd3Au | GGA-PBE | optimized geometry

The structure in POSCAR format:
```
Ag2Pd3Au
1.0
4.014 0.000 0.000
0.000 5.776 -0.003
0.000 0.035 8.574
Ag Pd Au
4 6 2
Direct
0.750 0.623 0.583 Ag
0.750 0.128 0.916 Ag
0.250 0.377 0.417 Ag
0.250 0.872 0.084 Ag
0.750 0.619 0.917 Pd
0.750 0.123 0.584 Pd
0.250 0.374 0.752 Pd
0.250 0.381 0.083 Pd
0.250 0.877 0.416 Pd
0.750 0.626 0.248 Pd
0.750 0.127 0.251 Au
0.250 0.873 0.749 Au
```

Energy of formation from the pure elements (kJ/mol of formula units): -30.2
Symmetry: P2_1/m (11)
Spin magnetization (μB/cell): 0.0
D(E_F) (states/eV/atom): 0.71

KS2Br | GGA-PBE | optimized geometry

The structure in POSCAR format:
```
KS2Br
1.0
-1.361 -0.246 5.215
-5.121 0.812 1.493
-2.965 -4.123 1.822
S Br K
2 1 1
Direct
0.250 0.250 0.250 S
0.750 0.750 0.750 S
0.500 0.500 0.500 Br
0.000 0.000 0.000 K
```

Symmetry: Fm-3m (225)
Spin magnetization (μB/cell): 4.0
D(E_F) (states/eV/atom): 0.54
ΔE_f (raw) (eV/atom): 0.3812

SrSbRu2 | GGA-PBE | optimized geometry

The structure in POSCAR format:
```
SrSbRu2
1.0
-2.991 2.996 -4.242
-4.570 -2.450 -3.004
2.430 1.766 5.185
Ru Sb Sr
2 1 1
Direct
0.963 0.963 0.000 Ru
0.753 0.253 0.500 Ru
0.533 0.533 0.000 Sb
0.251 0.751 0.500 Sr
```

Symmetry: Imm2 (44)
Spin magnetization (μB/cell): 0.0
D(E_F) (states/eV/atom): 1.18
ΔE_f (raw) (eV/atom): 0.3074

NiMo2Os | GGA-PBE | optimized geometry

The structure in POSCAR format:
```
NiMo2Os
1.0
-3.346 -1.798 0.540
1.765 -3.389 -0.345
0.643 -0.053 3.809
Mo Os Ni
2 1 1
Direct
0.500 0.500 0.000 Mo
0.000 0.000 0.000 Mo
0.000 0.500 0.500 Os
0.500 0.000 0.500 Ni
```

Energy of formation from the pure elements (kJ/mol of formula units): -4.1
Symmetry: P4/mmm (123)
Spin magnetization (μB/cell): 0.0
D(E_F) (states/eV/atom): 0.68

TbCe2Hg | GGA-PBE | optimized geometry

The structure in POSCAR format:
```
TbCe2Hg
1.0
5.257 0.000 0.000
0.000 4.529 0.000
0.000 0.000 4.529
Tb Hg Ce
1 1 2
Direct
0.500 0.500 0.500 Tb
0.500 0.000 0.000 Hg
0.000 0.000 0.500 Ce
0.000 0.500 0.000 Ce
```

Energy of formation from the pure elements (kJ/mol of formula units): -42.5
Symmetry: P4/mmm (123)
Spin magnetization (μB/cell): 1.5
D(E_F) (states/eV/atom): 2.78